(1)
## ScHIr3 (PBE)

Data for a relaxed structure of ScHIr3.

Geometry as CIF:
```
data_ScHIr3
_chemical_formula_sum 'Sc1 H1 Ir3'
_cell_length_a 3.814
_cell_length_b 3.814
_cell_length_c 6.328
_cell_angle_alpha 90.00
_cell_angle_beta 90.00
_cell_angle_gamma 90.00
_space_group_name_H-M_alt 'P 1'
_space_group_IT_number 1
loop_
_space_group_symop_operation_xyz
'x,y,z'
loop_
_atom_site_label
_atom_site_type_symbol
_atom_site_fract_x
_atom_site_fract_y
_atom_site_fract_z
Ir1 Ir 0.500 0.000 0.476
Ir2 Ir 0.000 0.500 0.476
Ir3 Ir 0.000 0.000 0.751
H1 H 0.500 0.500 0.404
Sc1 Sc 0.000 0.000 0.158
```

Calculated values
DOS at the Fermi energy = 7.37 states/eV/f.u.
space-group type = No. 99

=====

(2)
## ScHIr3 (PBE)

Data for a relaxed structure of ScHIr3.

Geometry as CIF:
```
data_ScHIr3
_chemical_formula_sum 'Sc2 H2 Ir6'
_cell_length_a 5.568
_cell_length_b 5.677
_cell_length_c 5.567
_cell_angle_alpha 119.31
_cell_angle_beta 90.09
_cell_angle_gamma 119.31
_space_group_name_H-M_alt 'P 1'
_space_group_IT_number 1
loop_
_space_group_symop_operation_xyz
'x,y,z'
loop_
_atom_site_label
_atom_site_type_symbol
_atom_site_fract_x
_atom_site_fract_y
_atom_site_fract_z
Ir1 Ir 0.347 0.241 0.327
Ir2 Ir 0.849 0.741 0.326
Ir3 Ir 0.350 0.241 0.824
Ir4 Ir 0.349 0.741 0.826
Ir5 Ir 0.847 0.241 0.828
Ir6 Ir 0.852 0.241 0.325
Sc1 Sc 0.349 0.741 0.327
Sc2 Sc 0.849 0.741 0.826
H1 H 0.604 0.241 0.550
H2 H 0.122 0.241 0.068
```

Calculated values
DOS at the Fermi energy = 3.03 states/eV/f.u.
space-group type = No. 8

=====

(3)
## ScHIr2 (PBE)

Data for a relaxed structure of ScHIr2.

Geometry as CIF:
```
data_ScHIr2
_chemical_formula_sum 'Sc1 H1 Ir2'
_cell_length_a 4.280
_cell_length_b 4.280
_cell_length_c 4.280
_cell_angle_alpha 60.00
_cell_angle_beta 60.00
_cell_angle_gamma 60.00
_space_group_name_H-M_alt 'P 1'
_space_group_IT_number 1
loop_
_space_group_symop_operation_xyz
'x,y,z'
loop_
_atom_site_label
_atom_site_type_symbol
_atom_site_fract_x
_atom_site_fract_y
_atom_site_fract_z
Ir1 Ir 0.750 0.750 0.750
Ir2 Ir 0.250 0.250 0.250
H1 H 0.000 0.000 0.000
Sc1 Sc 0.500 0.500 0.500
```

Calculated values
DOS at the Fermi energy = 3.14 states/eV/f.u.
space-group type = No. 225

=====

(4)
## ScH4Ir (PBE)

Data for a relaxed structure of ScH4Ir.

Geometry as CIF:
```
data_ScH4Ir
_chemical_formula_sum 'Sc1 H4 Ir1'
_cell_length_a 4.384
_cell_length_b 4.384
_cell_length_c 4.384
_cell_angle_alpha 115.70
_cell_angle_beta 115.71
_cell_angle_gamma 97.62
_space_group_name_H-M_alt 'P 1'
_space_group_IT_number 1
loop_
_space_group_symop_operation_xyz
'x,y,z'
loop_
_atom_site_label
_atom_site_type_symbol
_atom_site_fract_x
_atom_site_fract_y
_atom_site_fract_z
H1 H 0.245 0.756 0.001
H2 H 0.755 0.244 0.999
H3 H 0.756 0.755 0.511
H4 H 0.244 0.245 0.489
Ir1 Ir 0.500 0.500 0.000
Sc1 Sc 0.750 0.250 0.500
```

Calculated values
space-group type = No. 119

=====

(5)
## ScHIr3 (PBE)

Data for a relaxed structure of ScHIr3.

Geometry as CIF:
```
data_ScHIr3
_chemical_formula_sum 'Sc2 H2 Ir6'
_cell_length_a 5.616
_cell_length_b 5.612
_cell_length_c 5.612
_cell_angle_alpha 91.35
_cell_angle_beta 60.92
_cell_angle_gamma 60.67
_space_group_name_H-M_alt 'P 1'
_space_group_IT_number 1
loop_
_space_group_symop_operation_xyz
'x,y,z'
loop_
_atom_site_label
_atom_site_type_symbol
_atom_site_fract_x
_atom_site_fract_y
_atom_site_fract_z
Ir1 Ir 0.481 0.516 0.843
Ir2 Ir 0.489 0.017 0.336
Ir3 Ir 0.487 0.015 0.841
Ir4 Ir 0.988 0.514 0.839
Ir5 Ir 0.988 0.014 0.338
Ir6 Ir 0.487 0.514 0.340
Sc1 Sc 0.005 0.515 0.321
Sc2 Sc 0.969 0.014 0.858
H1 H 0.486 0.782 0.573
H2 H 0.953 0.282 0.606
```

Calculated values
DOS at the Fermi energy = 2.90 states/eV/f.u.
space-group type = No. 46

=====

(6)
## ScHIr3 (PBE)

Data for a relaxed structure of ScHIr3.

Geometry as CIF:
```
data_ScHIr3
_chemical_formula_sum 'Sc2 H2 Ir6'
_cell_length_a 4.058
_cell_length_b 7.595
_cell_length_c 4.966
_cell_angle_alpha 90.00
_cell_angle_beta 65.90
_cell_angle_gamma 90.00
_space_group_name_H-M_alt 'P 1'
_space_group_IT_number 1
loop_
_space_group_symop_operation_xyz
'x,y,z'
loop_
_atom_site_label
_atom_site_type_symbol
_atom_site_fract_x
_atom_site_fract_y
_atom_site_fract_z
Ir1 Ir 0.357 0.055 0.785
Ir2 Ir 0.357 0.445 0.785
Ir3 Ir 0.764 0.250 0.971
Ir4 Ir 0.236 0.750 0.029
Ir5 Ir 0.643 0.555 0.215
Ir6 Ir 0.643 0.945 0.215
Sc1 Sc 0.941 0.750 0.619
Sc2 Sc 0.059 0.250 0.381
H1 H 0.468 0.250 0.562
H2 H 0.532 0.750 0.438
```

Calculated values
DOS at the Fermi energy = 3.88 states/eV/f.u.
space-group type = No. 11

=====

(7)
## ScHIr3 (PBE)

Data for a relaxed structure of ScHIr3.

Geometry as CIF:
```
data_ScHIr3
_chemical_formula_sum 'Sc2 H2 Ir6'
_cell_length_a 2.981
_cell_length_b 2.981
_cell_length_c 17.561
_cell_angle_alpha 90.00
_cell_angle_beta 90.00
_cell_angle_gamma 120.00
_space_group_name_H-M_alt 'P 1'
_space_group_IT_number 1
loop_
_space_group_symop_operation_xyz
'x,y,z'
loop_
_atom_site_label
_atom_site_type_symbol
_atom_site_fract_x
_atom_site_fract_y
_atom_site_fract_z
Sc1 Sc 0.000 0.000 0.000
Sc2 Sc 0.000 0.000 0.500
Ir1 Ir 0.333 0.667 0.621
Ir2 Ir 0.333 0.667 0.879
Ir3 Ir 0.000 0.000 0.250
Ir4 Ir 0.667 0.333 0.121
Ir5 Ir 0.667 0.333 0.379
Ir6 Ir 0.000 0.000 0.750
H1 H 0.667 0.333 0.250
H2 H 0.333 0.667 0.750
```

Calculated values
DOS at the Fermi energy = 7.31 states/eV/f.u.
space-group type = No. 194

=====

(8)
## ScHIr3 (PBE)

Data for a relaxed structure of ScHIr3.

Geometry as CIF:
```
data_ScHIr3
_chemical_formula_sum 'Sc2 H2 Ir6'
_cell_length_a 5.138
_cell_length_b 5.138
_cell_length_c 5.322
_cell_angle_alpha 90.00
_cell_angle_beta 90.00
_cell_angle_gamma 105.29
_space_group_name_H-M_alt 'P 1'
_space_group_IT_number 1
loop_
_space_group_symop_operation_xyz
'x,y,z'
loop_
_atom_site_label
_atom_site_type_symbol
_atom_site_fract_x
_atom_site_fract_y
_atom_site_fract_z
H1 H 0.835 0.165 0.750
H2 H 0.165 0.835 0.250
Sc1 Sc 0.432 0.568 0.250
Sc2 Sc 0.568 0.432 0.750
Ir1 Ir 0.493 0.924 0.750
Ir2 Ir 0.924 0.493 0.250
Ir3 Ir 0.076 0.507 0.750
Ir4 Ir 0.000 0.000 0.500
Ir5 Ir 0.507 0.076 0.250
Ir6 Ir 0.000 0.000 0.000
```

Calculated values
DOS at the Fermi energy = 4.21 states/eV/f.u.
space-group type = No. 63

=====

no.,total DFT energy (no corrections) (eV/atom)
1,-6.821
2,-7.727
3,-6.572
4,-5.145
5,-7.746
6,-7.508
7,-7.191
8,-7.308